A geometry-optimized Tm2Th2Sc7 structure. Source: the Alexandria database, functional PBE.

Values from the calculation:
Magnetization, μB/f.u.: 0.00
Symmetry: C2/m
Energy above the most stable polymorph in this dataset, meV per atom: 0
Formation energy from the elements, eV/atom: 0.1431
Uncorrected energy, eV per atom: -6.048

Structure (POSCAR):
```
Tm2Th2Sc7
1.0
-0.9590 0.4978 3.2719
4.2853 -8.8225 0.7930
9.7771 0.5955 0.9676
Tm Th Sc
2 2 7
direct
0.3113 0.8115 0.8115
0.6887 0.1885 0.1885
0.5001 0.7372 0.2629
0.4999 0.2628 0.7371
0.1712 0.9066 0.4357
0.8289 0.5643 0.0933
0.8288 0.0934 0.5643
0.1711 0.4357 0.9067
0.0000 0.0000 0.0000
0.6208 0.6203 0.6203
0.3792 0.3797 0.3797
```


A geometry-optimized TmTh6Sc12 structure. Source: the Alexandria database, functional PBE.

Values from the calculation:
Magnetization, μB/f.u.: 0.00
Symmetry: R-3m
Formation energy from the elements, eV/atom: 0.5496
Uncorrected energy, eV per atom: -6.028

Structure (POSCAR):
```
TmTh6Sc12
1.0
8.7715 -0.1380 -0.1944
-2.3081 8.4636 -0.1944
-2.3081 -2.9730 7.9266
Tm Th Sc
1 6 12
direct
0.0000 0.0000 0.0000
0.7132 0.3213 0.3213
0.3213 0.3213 0.7132
0.3213 0.7132 0.3213
0.6787 0.6787 0.2868
0.2868 0.6787 0.6787
0.6787 0.2868 0.6787
0.8913 0.1087 0.5000
0.8992 0.6671 0.6671
0.6671 0.6671 0.8992
0.3329 0.1008 0.3329
0.3329 0.3329 0.1008
0.1008 0.3329 0.3329
0.1087 0.5000 0.8913
0.5000 0.8913 0.1087
0.1087 0.8913 0.5000
0.8913 0.5000 0.1087
0.5000 0.1087 0.8913
0.6671 0.8992 0.6671
```


A geometry-optimized TmTh2Sc9 structure. Source: the Alexandria database, functional PBE.

Values from the calculation:
Magnetization, μB/f.u.: 0.00
Symmetry: P4/mmm
Formation energy from the elements, eV/atom: 0.0368
Uncorrected energy, eV per atom: -6.321

Structure (POSCAR):
```
TmTh2Sc9
1.0
4.7039 0.0000 0.0000
0.0000 4.7039 0.0000
0.0000 0.0000 14.1957
Tm Th Sc
1 2 9
direct
0.0000 0.0000 0.0000
0.0000 0.0000 0.3334
0.0000 0.0000 0.6666
0.5000 0.5000 0.0000
0.5000 0.5000 0.3326
0.5000 0.5000 0.6674
0.5000 0.0000 0.1671
0.5000 0.0000 0.5000
0.5000 0.0000 0.8329
0.0000 0.5000 0.1671
0.0000 0.5000 0.5000
0.0000 0.5000 0.8329
```


A geometry-optimized TmTh5Sc structure. Source: the Alexandria database, functional PBE.

Values from the calculation:
Magnetization, μB/f.u.: 0.00
Symmetry: C2/c
Formation energy from the elements, eV/atom: 0.2345
Uncorrected energy, eV per atom: -6.609

Structure (POSCAR):
```
TmTh5Sc
1.0
6.4658 0.0000 0.0000
-3.2329 5.2833 -2.0454
0.0000 1.7631 12.4183
Tm Th Sc
2 10 2
direct
0.7654 0.0000 0.2500
0.2346 0.0000 0.7500
0.2584 0.4706 0.1799
0.6546 0.3428 0.5519
0.2122 0.4706 0.6799
0.2664 0.0000 0.2500
0.3118 0.6572 0.9481
0.6882 0.3428 0.0519
0.7336 0.0000 0.7500
0.7878 0.5294 0.3201
0.3454 0.6572 0.4481
0.7416 0.5294 0.8201
0.0000 0.0000 0.0000
0.0000 0.0000 0.5000
```